Pm2ErAs3: optimized geometry, GGA-PBE.

a b c (Å): 9.365 9.365 9.365
angles (deg): 154.15 154.15 36.89
Fractional positions:
As: 0.164 0.164 0.000
Pm: 0.334 0.334 0.000
Pm: 0.666 0.666 0.000
As: 0.500 0.500 0.000
Er: 0.000 0.000 0.000
As: 0.836 0.836 0.000

Computed properties:
spin magnetization: 0.0 μB per formula unit
calculated formation energy: -1.513 eV/atom
E: -6.181 eV/atom
V: 25.99 Å³ per atom